No. 1
First-principles (PBE-GGA) data for crystalline GdOs3C at its relaxed geometry, as listed in the Open Quantum Materials Database.

The final energy comes out at -9.382 eV per atom.

The structure belongs to space group Pm-3m (No. 221); the cell edges are 4.1952, 4.1952 and 4.1952 Å and the angles 90.00°, 90.00° and 90.00°. The asymmetric unit holds Gd at (0.0000, 0.0000, 0.0000), Os at (0.0000, 0.5000, 0.5000) and C at (0.5000, 0.5000, 0.5000).

=====

No. 2
First-principles (PBE-GGA) data for crystalline Gd3PbC at its relaxed geometry, as listed in the Open Quantum Materials Database.

The final energy comes out at -5.891 eV per atom.

The structure belongs to space group Pm-3m (No. 221); the cell edges are 4.9723, 4.9723 and 4.9723 Å and the angles 90.00°, 90.00° and 90.00°. The asymmetric unit holds Gd at (0.0000, 0.0000, 0.5000), Pb at (0.5000, 0.5000, 0.5000) and C at (0.0000, 0.0000, 0.0000).

=====

No. 3
First-principles (PBE-GGA) data for crystalline Gd4PbC2S at its relaxed geometry, as listed in the Open Quantum Materials Database.

The final energy comes out at -6.439 eV per atom.

The structure belongs to space group P-6m2 (No. 187); the cell edges are 3.7172, 3.7172 and 14.6988 Å and the angles 90.00°, 90.00° and 120.00°. The asymmetric unit holds Gd at (0.0000, 0.0000, 0.1291), Gd at (0.3333, 0.6667, 0.3146), Pb at (0.0000, 0.0000, 0.5000), C at (0.6667, 0.3333, 0.2247) and S at (0.3333, 0.6667, 0.0000).

=====

No. 4
First-principles (PBE-GGA) data for crystalline GdScPbC at its relaxed geometry, as listed in the Open Quantum Materials Database.

The final energy comes out at -6.475 eV per atom.

The structure belongs to space group P6_3mc (No. 186); the cell edges are 3.5362, 3.5362 and 15.8063 Å and the angles 90.00°, 90.00° and 120.00°. The asymmetric unit holds Gd at (0.3333, 0.6667, 0.0000), Sc at (0.3333, 0.6667, 0.3382), Pb at (0.3333, 0.6667, 0.6760) and C at (0.0000, 0.0000, 0.4122).

=====

No. 5
First-principles (PBE-GGA) data for crystalline GdScPbC at its relaxed geometry, as listed in the Open Quantum Materials Database.

The final energy comes out at -6.474 eV per atom.

The structure belongs to space group P-3m1 (No. 164); the cell edges are 3.5327, 3.5327 and 15.8291 Å and the angles 90.00°, 90.00° and 120.00°. The asymmetric unit holds Gd at (0.3333, 0.6667, 0.0872), Sc at (0.3333, 0.6667, 0.4256), Pb at (0.3333, 0.6667, 0.7363), C at (0.0000, 0.0000, 0.0000) and C at (0.0000, 0.0000, 0.5000).

=====

No. 6
First-principles (PBE-GGA) data for crystalline GdScPbC at its relaxed geometry, as listed in the Open Quantum Materials Database.

The final energy comes out at -6.473 eV per atom.

The structure belongs to space group P-6m2 (No. 187); the cell edges are 3.5353, 3.5353 and 15.8194 Å and the angles 90.00°, 90.00° and 120.00°. The asymmetric unit holds Gd at (0.0000, 0.0000, 0.1752), Sc at (0.3333, 0.6667, 0.3371), Pb at (0.0000, 0.0000, 0.5000), Pb at (0.3333, 0.6667, 0.0000) and C at (0.6667, 0.3333, 0.2631).

=====

No. 7
First-principles (PBE-GGA) data for crystalline Gd2PbC4Se at its relaxed geometry, as listed in the Open Quantum Materials Database.

The final energy comes out at -6.081 eV per atom.

The structure belongs to space group P-6m2 (No. 187); the cell edges are 4.4273, 4.4273 and 8.5228 Å and the angles 90.00°, 90.00° and 120.00°. The asymmetric unit holds Gd at (0.0000, 0.0000, 0.1937), Pb at (0.6667, 0.3333, 0.5000), C at (0.3333, 0.6667, 0.4212), C at (0.6667, 0.3333, 0.0762) and Se at (0.3333, 0.6667, 0.0000).

=====

No. 8
First-principles (PBE-GGA) data for crystalline TbGdPbC at its relaxed geometry, as listed in the Open Quantum Materials Database.

The final energy comes out at -6.011 eV per atom.

The structure belongs to space group P-6m2 (No. 187); the cell edges are 3.6638, 3.6638 and 16.3166 Å and the angles 90.00°, 90.00° and 120.00°. The asymmetric unit holds Tb at (0.0000, 0.0000, 0.1670), Gd at (0.3333, 0.6667, 0.3331), Pb at (0.0000, 0.0000, 0.5000), Pb at (0.3333, 0.6667, 0.0000) and C at (0.6667, 0.3333, 0.2498).

=====

No. 9
First-principles (PBE-GGA) data for crystalline TbGdPbC at its relaxed geometry, as listed in the Open Quantum Materials Database.

The final energy comes out at -6.011 eV per atom.

The structure belongs to space group P-3m1 (No. 164); the cell edges are 3.6637, 3.6637 and 16.3141 Å and the angles 90.00°, 90.00° and 120.00°. The asymmetric unit holds Tb at (0.3333, 0.6667, 0.0829), Gd at (0.3333, 0.6667, 0.4168), Pb at (0.3333, 0.6667, 0.7501), C at (0.0000, 0.0000, 0.0000) and C at (0.0000, 0.0000, 0.5000).

=====

No. 10
First-principles (PBE-GGA) data for crystalline TbGdPbC at its relaxed geometry, as listed in the Open Quantum Materials Database.

The final energy comes out at -6.011 eV per atom.

The structure belongs to space group P6_3mc (No. 186); the cell edges are 3.6635, 3.6635 and 16.3134 Å and the angles 90.00°, 90.00° and 120.00°. The asymmetric unit holds Tb at (0.3333, 0.6667, 0.0000), Gd at (0.3333, 0.6667, 0.3340), Pb at (0.3333, 0.6667, 0.6669) and C at (0.0000, 0.0000, 0.4171).

=====

No. 11
First-principles (PBE-GGA) data for crystalline Gd4TePbC2 at its relaxed geometry, as listed in the Open Quantum Materials Database.

The final energy comes out at -6.117 eV per atom.

The structure belongs to space group P-6m2 (No. 187); the cell edges are 3.7692, 3.7692 and 15.3407 Å and the angles 90.00°, 90.00° and 120.00°. The asymmetric unit holds Gd at (0.0000, 0.0000, 0.1487), Gd at (0.3333, 0.6667, 0.3245), Te at (0.3333, 0.6667, 0.0000), Pb at (0.0000, 0.0000, 0.5000) and C at (0.6667, 0.3333, 0.2370).

=====

No. 12
First-principles (PBE-GGA) data for crystalline GdYPbC at its relaxed geometry, as listed in the Open Quantum Materials Database.

The final energy comes out at -6.489 eV per atom.

The structure belongs to space group P-3m1 (No. 164); the cell edges are 3.6594, 3.6594 and 16.2199 Å and the angles 90.00°, 90.00° and 120.00°. The asymmetric unit holds Gd at (0.3333, 0.6667, 0.0838), Y at (0.3333, 0.6667, 0.4178), Pb at (0.3333, 0.6667, 0.7483), C at (0.0000, 0.0000, 0.0000) and C at (0.0000, 0.0000, 0.5000).